{"formula": "MnOF", "functional": "PBE with a Hubbard U", "state": "relaxed", "lattice_angstrom": [[-1.909, 2.196, 4.732], [1.909, -2.196, 4.732], [1.909, 2.196, -4.732]], "species": ["Mn", "Mn", "O", "O", "F", "F"], "frac_coords": [[0.384, 0.134, 0.250], [0.616, 0.866, 0.750], [0.414, 0.664, 0.750], [0.586, 0.336, 0.250], [0.176, 0.926, 0.250], [0.824, 0.074, 0.750]], "energy_ev_per_atom": -6.732, "total_magnetization_mub_per_fu": 4.00, "spacegroup": "Imma, No. 74"}